Entry 1:
Material: ScInSn2
Method: DFT, GGA-PBE
State: relaxed

It has space group P4/mmm (No. 123), with a = 4.0155 Å, b = 4.0155 Å, c = 6.1736 Å, α = 90.00°, β = 90.00° and γ = 90.00°. The distinct sites, in fractional coordinates, are Sc at (0.0000, 0.0000, 0.0000), In at (0.0000, 0.0000, 0.5000) and Sn at (0.5000, 0.5000, 0.2379).

Its calculated total energy is -18.11 eV per cell.

***

Entry 2:
Material: Pm6InTe3As2
Method: DFT, GGA-PBE
State: relaxed

It has space group C2/m (No. 12), with a = 19.2745 Å, b = 4.3294 Å, c = 8.9447 Å, α = 90.00°, β = 104.14° and γ = 90.00°. The distinct sites, in fractional coordinates, are Pm at (0.0072, 0.0000, 0.2523), Pm at (0.1667, 0.5000, 0.1033), Pm at (0.1735, 0.5000, 0.5674), In at (0.0000, 0.5000, 0.0000), Te at (0.0000, 0.5000, 0.5000), Te at (0.1654, 0.0000, 0.8313) and As at (0.1683, 0.0000, 0.3359).

As for the energy relative to the elements, uncorrected: -1316 meV per atom. Its calculated total energy is -131.52 eV per cell.

***

Entry 3:
Material: HfNbMo2
Method: DFT, GGA-PBE
State: relaxed

It has space group I-42d (No. 122), with a = 7.3245 Å, b = 7.3245 Å, c = 5.6172 Å, α = 90.00°, β = 90.00° and γ = 90.00°. The distinct sites, in fractional coordinates, are Hf at (0.0000, 0.0000, 0.0000), Nb at (0.0000, 0.0000, 0.5000) and Mo at (0.2339, 0.2500, 0.6250).

Its calculated total energy is -156.85 eV per cell.

***

Entry 4:
Material: Ta2ZnHg
Method: DFT, GGA-PBE
State: relaxed

It has space group P4mm (No. 99), with a = 2.8664 Å, b = 2.8664 Å, c = 8.8376 Å, α = 90.00°, β = 90.00° and γ = 90.00°. The distinct sites, in fractional coordinates, are Ta at (0.0000, 0.0000, 0.0000), Ta at (0.5000, 0.5000, 0.2569), Zn at (0.0000, 0.0000, 0.4884) and Hg at (0.5000, 0.5000, 0.7360).

Its calculated total energy is -24.60 eV per cell.

***

Which of these has the highest calculated total energy?
ScInSn2

***

Repeat the fourth record exactly.
Material: Ta2ZnHg
Method: DFT, GGA-PBE
State: relaxed

It has space group P4mm (No. 99), with a = 2.8664 Å, b = 2.8664 Å, c = 8.8376 Å, α = 90.00°, β = 90.00° and γ = 90.00°. The distinct sites, in fractional coordinates, are Ta at (0.0000, 0.0000, 0.0000), Ta at (0.5000, 0.5000, 0.2569), Zn at (0.0000, 0.0000, 0.4884) and Hg at (0.5000, 0.5000, 0.7360).

Its calculated total energy is -24.60 eV per cell.

***

Which value of calculated total energy does entry 4 give?
-24.60 eV per cell